First-principles (PBE) data for CaW2IBr after structural relaxation, as listed in the Alexandria database.

**Electronic total energy**: -4.731 eV/atom
**Energy relative to the elements, uncorrected**: 7.48 eV/f.u.

Cell lengths 4.653, 4.653, 6.795 Å; angles 90.00, 90.00, 90.00 degrees
Space group P4/mmm (No. 123)
Inequivalent atoms, fractional coordinates:
Ca 0.000 0.000 0.000
W 0.000 0.500 0.500
I 0.500 0.500 0.000
Br 0.500 0.500 0.500